Crystalline TbEuErCd at its relaxed geometry, computed with PBE-GGA.

Values from the calculation:
* size of the total moment: 7.1 μB/f.u.
* E_tot: -5.09 eV/atom
* V: 29.381 Å³ per atom
* N(E_F): 17.45 states/eV per cell

a b c (Å): 7.7755 7.7755 7.7755
angles (deg): 90.00 90.00 90.00
Last column: nearest neighbours and their distance in Å.
Space group F-43m (No. 216)
Symmetry-distinct sites (fractional):
Tb  0.0000  0.0000  0.0000 x4  4 Cd 3.37, 4 Eu 3.37
Eu  0.2500  0.2500  0.7500 x4  4 Tb 3.37, 4 Er 3.37
Er  0.0000  0.0000  0.5000 x4  4 Cd 3.37, 4 Eu 3.37
Cd  0.2500  0.2500  0.2500 x4  4 Tb 3.37, 4 Er 3.37